{"formula": "ErH5", "functional": "GGA-PBE", "state": "relaxed", "density_g_cm3": 6.7, "crystal_system": "orthorhombic", "dft_energy_ev_per_atom": -3.37, "cell": [[3.458, 0.000, 0.000], [0.000, 3.444, 0.000], [0.000, -1.722, 3.563]], "species": ["H", "H", "H", "H", "H", "Er"], "frac_coords": [[0.500, 0.822, 0.644], [0.000, 0.308, 0.616], [0.500, 0.500, 0.000], [0.000, 0.692, 0.384], [0.500, 0.178, 0.356], [0.000, 0.000, 0.000]]}



{"formula": "ZrAl2Cu", "functional": "GGA-PBE", "state": "relaxed", "density_g_cm3": 5.2, "crystal_system": "tetragonal", "dft_energy_ev_per_atom": -5.28, "formation_enthalpy_0k_ev_per_atom": -0.246, "cell": [[-0.418, -4.877, 1.171], [2.139, -0.993, 4.446], [-3.331, 3.461, -1.502]], "species": ["Al", "Al", "Cu", "Zr"], "frac_coords": [[0.000, 0.000, 0.000], [0.250, 0.750, 0.500], [0.500, 0.500, 0.000], [0.750, 0.250, 0.500]]}